Zr4Se5: optimized geometry, PBE-GGA.

Geometry as POSCAR:
```
Zr4Se5
1.0
-4.381 4.381 2.526
4.381 -4.381 2.526
4.381 4.381 -2.526
Zr Se
4 5
Direct
0.292 0.000 0.292
0.708 0.000 0.708
0.000 0.708 0.708
0.000 0.292 0.292
0.000 0.000 0.000
0.317 0.683 0.000
0.683 0.317 0.000
0.683 0.683 0.366
0.317 0.317 0.634
```

## Properties
Uncorrected formation energy ... -18.54 kcal/mol of atoms
Crystal system ... tetragonal
V ... 194.0 Å³/f.u.
E_tot ... -58.9 eV per cell


Zr2Se: optimized geometry, PBE-GGA.

Geometry as POSCAR:
```
Zr2Se
1.0
2.404 -4.165 0.000
2.404 4.165 0.000
0.000 0.000 3.193
Zr Se
2 1
Direct
0.667 0.333 0.000
0.333 0.667 0.000
0.000 0.000 0.500
```

## Properties
Uncorrected formation energy ... 5.91 kcal/mol of atoms
Crystal system ... hexagonal
V ... 64.0 Å³/f.u.
E_tot ... -19.8 eV per cell


Zr2Se3: optimized geometry, PBE-GGA.

Geometry as POSCAR:
```
Zr2Se3
1.0
2.386 -4.133 0.000
2.386 4.133 0.000
0.000 0.000 5.608
Zr Se
2 3
Direct
0.667 0.333 0.182
0.333 0.667 0.818
0.000 0.000 0.000
0.667 0.333 0.692
0.333 0.667 0.308
```

## Properties
Uncorrected formation energy ... -25.52 kcal/mol of atoms
Crystal system ... trigonal
V ... 110.6 Å³/f.u.
E_tot ... -33.1 eV per cell


ZrSe2: optimized geometry, PBE-GGA.

Geometry as POSCAR:
```
ZrSe2
1.0
-1.671 1.671 13.917
1.671 -1.671 13.917
1.671 1.671 -13.917
Zr Se
2 4
Direct
0.500 0.500 0.000
0.250 0.750 0.500
0.942 0.942 0.000
0.808 0.308 0.500
0.058 0.058 0.000
0.692 0.192 0.500
```

## Properties
Uncorrected formation energy ... -23.05 kcal/mol of atoms
Crystal system ... tetragonal
V ... 77.7 Å³/f.u.
E_tot ... -37.0 eV per cell


ZrSe5: optimized geometry, PBE-GGA.

Geometry as POSCAR:
```
ZrSe5
1.0
0.000 3.967 3.967
3.967 0.000 3.967
3.967 3.967 0.000
Zr Se
1 5
Direct
0.000 0.000 0.000
0.250 0.250 0.250
0.626 0.626 0.626
0.626 0.626 0.122
0.122 0.626 0.626
0.626 0.122 0.626
```

## Properties
Uncorrected formation energy ... 6.31 kcal/mol of atoms
Crystal system ... cubic
V ... 124.9 Å³/f.u.
E_tot ... -24.3 eV per cell


ZrSe3: optimized geometry, PBE-GGA.

Geometry as POSCAR:
```
ZrSe3
1.0
4.853 0.000 0.000
2.426 4.202 0.000
2.426 1.401 3.962
Se Zr
3 1
Direct
0.000 0.000 0.000
0.250 0.250 0.250
0.500 0.500 0.500
0.750 0.750 0.750
```

## Properties
Uncorrected formation energy ... -7.14 kcal/mol of atoms
Crystal system ... cubic
V ... 80.8 Å³/f.u.
E_tot ... -20.2 eV per cell


Zr3Se: optimized geometry, PBE-GGA.

Geometry as POSCAR:
```
Zr3Se
1.0
3.313 0.000 0.000
0.000 3.313 0.000
0.000 0.000 7.968
Se Zr
1 3
Direct
0.000 0.000 0.000
0.500 0.500 0.776
0.000 0.000 0.500
0.500 0.500 0.224
```

## Properties
Uncorrected formation energy ... -10.15 kcal/mol of atoms
Distance to the lowest polymorph of the same formula ... 259.6 meV/atom
Crystal system ... tetragonal
V ... 87.4 Å³/f.u.
E_tot ... -30.9 eV per cell


ZrSe2: optimized geometry, PBE-GGA.

Geometry as POSCAR:
```
ZrSe2
1.0
3.747 -6.490 0.000
3.747 6.490 0.000
0.000 0.000 3.841
Zr Se
3 6
Direct
0.333 0.667 0.000
0.667 0.333 0.000
0.000 0.000 0.500
0.269 0.000 0.000
0.000 0.269 0.000
0.731 0.731 0.000
0.610 0.000 0.500
0.000 0.610 0.500
0.390 0.390 0.500
```

## Properties
Uncorrected formation energy ... -26.76 kcal/mol of atoms
Crystal system ... hexagonal
V ... 62.3 Å³/f.u.
E_tot ... -57.0 eV per cell


ZrSe: optimized geometry, PBE-GGA.

Geometry as POSCAR:
```
ZrSe
1.0
-0.079 -6.322 -0.096
1.203 -4.782 3.958
-3.165 -4.709 2.790
Se Zr
2 2
Direct
0.399 0.399 0.399
0.601 0.601 0.601
0.085 0.085 0.085
0.915 0.915 0.915
```

## Properties
Uncorrected formation energy ... -10.49 kcal/mol of atoms
Crystal system ... trigonal
V ... 51.0 Å³/f.u.
E_tot ... -25.9 eV per cell


Zr2Se3: optimized geometry, PBE-GGA.

Geometry as POSCAR:
```
Zr2Se3
1.0
3.563 -0.004 0.001
-1.782 7.242 0.731
-1.781 0.854 10.783
Se Zr
6 4
Direct
0.259 0.859 0.661
0.741 0.141 0.339
0.515 0.351 0.678
0.485 0.649 0.322
0.889 0.779 0.001
0.111 0.221 0.999
0.447 0.036 0.858
0.553 0.964 0.142
0.136 0.856 0.418
0.864 0.144 0.582
```

## Properties
Uncorrected formation energy ... -27.75 kcal/mol of atoms
Crystal system ... triclinic
V ... 138.0 Å³/f.u.
E_tot ... -67.1 eV per cell


ZrSe3: optimized geometry, PBE-GGA.

Geometry as POSCAR:
```
ZrSe3
1.0
-2.914 0.427 4.592
0.489 -4.933 2.277
3.091 4.251 -1.461
Se Zr
3 1
Direct
0.683 0.683 0.000
0.318 0.317 0.000
0.088 0.500 0.588
0.745 0.000 0.745
```

## Properties
Uncorrected formation energy ... -17.13 kcal/mol of atoms
Crystal system ... orthorhombic
V ... 90.1 Å³/f.u.
E_tot ... -22.0 eV per cell


Zr3Se: optimized geometry, PBE-GGA.

Geometry as POSCAR:
```
Zr3Se
1.0
-1.201 4.044 2.503
-3.664 2.859 -1.570
-4.217 0.176 2.499
Se Zr
1 3
Direct
0.000 0.000 0.000
0.250 0.250 0.250
0.500 0.500 0.500
0.750 0.750 0.750
```

## Properties
Uncorrected formation energy ... -1.05 kcal/mol of atoms
Distance to the lowest polymorph of the same formula ... 654.3 meV/atom
Crystal system ... cubic
V ... 83.5 Å³/f.u.
E_tot ... -29.3 eV per cell